No. 1
## Ho2CuO4 (PBE)

Data for Ho2CuO4 after structural relaxation.

Results
For the calculated density, the calculation gives 8.571 g/cm³. The energy above the most stable polymorph in this dataset comes out at 0 meV/atom. The size of the total moment is 0.49 μB per cell.

Cell lengths 6.509, 6.509, 5.477 Å; angles 90.00, 90.00, 130.20 degrees
Last column: magnetic moment on the atom in μB.
Element x y z (fractional)
O (0.510, 0.010, 0.250)  0.00
O (0.199, 0.199, 0.300)  0.04
O (0.490, 0.990, 0.750)  0.00
O (0.010, 0.510, 0.250)  0.00
O (0.301, 0.301, 0.800)  0.04
O (0.801, 0.801, 0.700)  0.04
O (0.699, 0.699, 0.200)  0.04
O (0.990, 0.490, 0.750)  0.00
Cu (0.500, 0.500, 0.500)  0.14
Cu (0.000, 0.000, 0.000)  0.14
Ho (0.655, 0.345, 0.000)  0.00
Ho (0.155, 0.845, 0.500)  0.00
Ho (0.345, 0.655, 0.000)  0.00
Ho (0.845, 0.155, 0.500)  0.00


No. 2
## Ho2CuO4 (PBE)

Data for Ho2CuO4 after structural relaxation.

Results
For the calculated density, the calculation gives 8.750 g/cm³. The energy above the most stable polymorph in this dataset comes out at 17 meV/atom. The size of the total moment is 0.00 μB per cell.

Cell lengths 6.436, 6.436, 6.436 Å; angles 145.11, 145.11, 50.18 degrees
Element x y z (fractional)
Ho (0.348, 0.348, 0.000)
Ho (0.652, 0.652, 0.000)
O (0.750, 0.250, 0.500)
O (0.250, 0.750, 0.500)
O (0.500, 0.000, 0.500)
O (0.000, 0.500, 0.500)
Cu (0.000, 0.000, 0.000)


No. 3
## HoCu7O12 (PBE)

Data for HoCu7O12 after structural relaxation.

Results
For the calculated density, the calculation gives 6.814 g/cm³. The size of the total moment is 0.00 μB per cell.

Cell lengths 6.331, 6.331, 6.331 Å; angles 109.47, 109.47, 109.47 degrees
Element x y z (fractional)
O (0.695, 0.169, 0.864)
O (0.169, 0.474, 0.305)
O (0.831, 0.136, 0.305)
O (0.169, 0.864, 0.695)
O (0.305, 0.831, 0.136)
O (0.474, 0.305, 0.169)
O (0.136, 0.305, 0.831)
O (0.864, 0.695, 0.169)
O (0.305, 0.169, 0.474)
O (0.831, 0.526, 0.695)
O (0.526, 0.695, 0.831)
O (0.695, 0.831, 0.526)
Cu (0.000, 0.500, 0.500)
Cu (0.500, 0.500, 0.500)
Cu (0.500, 0.500, 0.000)
Cu (0.500, 0.000, 0.000)
Cu (0.500, 0.000, 0.500)
Cu (0.000, 0.000, 0.500)
Cu (0.000, 0.500, 0.000)
Ho (0.000, 0.000, 0.000)


No. 4
## HoPaCuO6 (PBE)

Data for HoPaCuO6 after structural relaxation.

Results
For the calculated density, the calculation gives 7.789 g/cm³. The size of the total moment is 0.98 μB per cell.

Cell lengths 4.882, 5.293, 5.293 Å; angles 120.00, 90.00, 90.00 degrees
Last column: magnetic moment on the atom in μB.
Element x y z (fractional)
O (0.738, 0.681, 0.702)  0.07
O (0.262, 0.681, 0.979)  0.07
O (0.262, 0.021, 0.702)  0.07
O (0.738, 0.021, 0.319)  0.07
O (0.262, 0.298, 0.319)  0.07
O (0.738, 0.298, 0.979)  0.07
Pa (0.000, 0.333, 0.667)  0.08
Cu (0.500, 0.000, 0.000)  0.45
Ho (0.500, 0.667, 0.333)  -0.01


No. 5
## HoPa2CuO8 (PBE)

Data for HoPa2CuO8 after structural relaxation.

Results
For the calculated density, the calculation gives 9.102 g/cm³. The size of the total moment is 1.94 μB per cell.

Cell lengths 5.357, 5.357, 6.009 Å; angles 90.00, 90.00, 120.00 degrees
Last column: magnetic moment on the atom in μB.
Element x y z (fractional)
O (0.831, 0.662, 0.812)  0.17
O (0.169, 0.831, 0.188)  0.17
O (0.667, 0.333, 0.430)  0.01
O (0.333, 0.667, 0.570)  0.01
O (0.662, 0.831, 0.188)  0.17
O (0.169, 0.338, 0.188)  0.17
O (0.831, 0.169, 0.812)  0.17
O (0.338, 0.169, 0.812)  0.17
Cu (0.000, 0.000, 0.000)  0.81
Ho (0.000, 0.000, 0.500)  -0.01
Pa (0.667, 0.333, 0.118)  -0.01
Pa (0.333, 0.667, 0.882)  -0.01


No. 6
## Sr2HoCu3Pb2O8 (PBE)

Data for Sr2HoCu3Pb2O8 after structural relaxation.

Results
For the calculated density, the calculation gives 7.600 g/cm³. The energy above the most stable polymorph in this dataset comes out at 8 meV/atom. The size of the total moment is 0.00 μB per cell.

Cell lengths 3.831, 3.831, 15.979 Å; angles 90.00, 90.00, 90.00 degrees
Element x y z (fractional)
Sr (0.000, 0.000, 0.779)
Sr (0.000, 0.000, 0.221)
O (0.000, 0.000, 0.383)
O (0.500, 0.000, 0.910)
O (0.000, 0.000, 0.617)
O (0.500, 0.500, 0.749)
O (0.500, 0.500, 0.251)
O (0.500, 0.000, 0.090)
O (0.000, 0.500, 0.910)
O (0.000, 0.500, 0.090)
Cu (0.500, 0.500, 0.897)
Cu (0.000, 0.000, 0.500)
Cu (0.500, 0.500, 0.103)
Pb (0.500, 0.500, 0.387)
Pb (0.500, 0.500, 0.613)
Ho (0.000, 0.000, 0.000)


No. 7
## Sr2HoCu3Pb2O8 (PBE)

Data for Sr2HoCu3Pb2O8 after structural relaxation.

Results
For the calculated density, the calculation gives 7.566 g/cm³. The energy above the most stable polymorph in this dataset comes out at 0 meV/atom. The size of the total moment is 0.00 μB per cell.

Cell lengths 5.457, 5.417, 15.935 Å; angles 89.47, 90.00, 90.00 degrees
Element x y z (fractional)
Pb (0.994, 0.496, 0.612)
Pb (0.506, 0.996, 0.612)
Pb (0.006, 0.504, 0.388)
Pb (0.494, 0.004, 0.388)
O (0.990, 0.492, 0.251)
O (0.560, 0.547, 0.615)
O (0.750, 0.253, 0.909)
O (0.250, 0.753, 0.910)
O (0.940, 0.047, 0.615)
O (0.010, 0.508, 0.749)
O (0.060, 0.953, 0.385)
O (0.750, 0.747, 0.090)
O (0.440, 0.453, 0.385)
O (0.250, 0.253, 0.910)
O (0.750, 0.247, 0.090)
O (0.490, 0.008, 0.749)
O (0.250, 0.747, 0.091)
O (0.750, 0.753, 0.909)
O (0.510, 0.992, 0.251)
O (0.250, 0.247, 0.091)
Cu (0.000, 0.497, 0.103)
Cu (0.500, 0.997, 0.103)
Cu (0.500, 0.003, 0.897)
Cu (0.000, 0.503, 0.897)
Cu (0.500, 0.500, 0.500)
Cu (0.000, 0.000, 0.500)
Sr (0.000, 0.994, 0.220)
Sr (0.500, 0.494, 0.220)
Sr (0.000, 0.006, 0.780)
Sr (0.500, 0.506, 0.780)
Ho (0.500, 0.500, 0.000)
Ho (0.000, 0.000, 0.000)


No. 8
## HoCuPdO4 (PBE)

Data for HoCuPdO4 after structural relaxation.

Results
For the calculated density, the calculation gives 7.356 g/cm³. The size of the total moment is 0.00 μB per cell.

Cell lengths 6.284, 6.281, 6.674 Å; angles 122.09, 90.00, 120.02 degrees
Element x y z (fractional)
O (0.730, 0.989, 0.745)
O (0.740, 0.011, 0.255)
O (0.236, 0.472, 0.703)
O (0.764, 0.528, 0.731)
O (0.260, 0.989, 0.745)
O (0.764, 0.528, 0.297)
O (0.270, 0.011, 0.255)
O (0.236, 0.472, 0.269)
Ho (0.500, 0.000, 0.000)
Ho (0.500, 0.000, 0.500)
Cu (0.881, 0.762, 0.131)
Cu (0.119, 0.238, 0.869)
Pd (0.000, 0.500, 0.500)
Pd (0.500, 0.500, 0.500)


No. 9
## HoCuPtO4 (PBE)

Data for HoCuPtO4 after structural relaxation.

Results
For the calculated density, the calculation gives 8.211 g/cm³. The size of the total moment is 0.00 μB per cell.

Cell lengths 6.423, 6.446, 7.136 Å; angles 123.61, 90.00, 119.88 degrees
Element x y z (fractional)
O (0.275, 0.990, 0.745)
O (0.759, 0.519, 0.696)
O (0.285, 0.010, 0.255)
O (0.725, 0.010, 0.255)
O (0.241, 0.481, 0.677)
O (0.241, 0.481, 0.304)
O (0.759, 0.519, 0.323)
O (0.715, 0.990, 0.745)
Pt (0.000, 0.500, 0.500)
Pt (0.500, 0.500, 0.500)
Ho (0.500, 0.000, 0.500)
Ho (0.500, 0.000, 0.000)
Cu (0.946, 0.892, 0.196)
Cu (0.054, 0.108, 0.804)


No. 10
## HoPuCu2O8 (PBE)

Data for HoPuCu2O8 after structural relaxation.

Results
For the calculated density, the calculation gives 7.137 g/cm³. The size of the total moment is 1.32 μB per cell.

Cell lengths 5.855, 5.855, 5.855 Å; angles 109.93, 109.93, 108.56 degrees
Last column: magnetic moment on the atom in μB.
Element x y z (fractional)
O (0.719, 0.045, 0.673)  0.17
O (0.955, 0.281, 0.327)  0.17
O (0.297, 0.501, 0.204)  0.05
O (0.907, 0.703, 0.204)  0.05
O (0.372, 0.045, 0.327)  0.17
O (0.499, 0.703, 0.796)  0.05
O (0.297, 0.093, 0.796)  0.05
O (0.955, 0.628, 0.673)  0.17
Ho (0.000, 0.000, 0.000)  0.07
Cu (0.500, 0.500, 0.000)  0.13
Cu (0.750, 0.250, 0.500)  0.45
Pu (0.250, 0.750, 0.500)  -0.30


No. 11
## RbHoCuO3 (PBE)

Data for RbHoCuO3 after structural relaxation.

Results
For the calculated density, the calculation gives 5.172 g/cm³. The size of the total moment is 2.04 μB per cell.

Cell lengths 3.600, 7.568, 9.199 Å; angles 111.98, 90.00, 90.00 degrees
Last column: magnetic moment on the atom in μB.
Element x y z (fractional)
Ho (0.750, 0.327, 0.862)  0.00
Ho (0.250, 0.673, 0.138)  0.00
Cu (0.250, 0.038, 0.624)  0.56
Cu (0.750, 0.962, 0.376)  0.56
Rb (0.250, 0.206, 0.189)  0.00
Rb (0.750, 0.794, 0.811)  0.00
O (0.750, 0.874, 0.148)  0.10
O (0.250, 0.877, 0.400)  0.28
O (0.250, 0.126, 0.852)  0.10
O (0.750, 0.123, 0.600)  0.28
O (0.250, 0.527, 0.879)  0.00
O (0.750, 0.473, 0.121)  0.00


No. 12
## RbHo2CuO4 (PBE)

Data for RbHo2CuO4 after structural relaxation.

Results
For the calculated density, the calculation gives 7.449 g/cm³. The size of the total moment is 0.00 μB per cell.

Cell lengths 3.472, 6.141, 11.832 Å; angles 90.00, 90.00, 106.42 degrees
Element x y z (fractional)
O (0.000, 0.000, 0.000)
O (0.416, 0.832, 0.750)
O (0.748, 0.496, 0.905)
O (0.252, 0.504, 0.405)
O (0.252, 0.504, 0.095)
O (0.584, 0.168, 0.250)
O (0.000, 0.000, 0.500)
O (0.748, 0.496, 0.595)
Ho (0.366, 0.733, 0.560)
Ho (0.366, 0.733, 0.940)
Ho (0.634, 0.267, 0.060)
Ho (0.634, 0.267, 0.440)
Rb (0.101, 0.201, 0.750)
Rb (0.899, 0.799, 0.250)
Cu (0.825, 0.650, 0.750)
Cu (0.175, 0.350, 0.250)


Looking at formation energy (no corrections) for the records above, in order, we have -2721, -2704, -836, -2317, -2435, -1720, -1728, -1463, -1492, -1544, -1958, -2464 meV/atom.